The following is a DFT calculation (PBE) of a geometry-optimized K2Ba2TaSe6 structure.

a = 7.9494 Å, b = 13.0699 Å, c = 8.1189 Å
α = 90.00°, β = 109.13°, γ = 90.00°
Space group C2/m (No. 12)
Asymmetric unit:
K 0.0000 0.1732 0.0000
Ba 0.0000 0.3375 0.5000
Ta 0.0000 0.0000 0.5000
Se 0.1959 0.0000 0.2969
Se 0.2058 0.1383 0.7033



The following is a DFT calculation (PBE) of a geometry-optimized K2BaTaSe4 structure.

a = 7.8967 Å, b = 7.8967 Å, c = 9.5979 Å
α = 90.00°, β = 90.00°, γ = 90.00°
Space group I-4 (No. 82)
Asymmetric unit:
K 0.0000 0.0000 0.0000
K 0.0000 0.5000 0.2500
Ba 0.0000 0.0000 0.5000
Ta 0.0000 0.5000 0.7500
Se 0.2052 0.2942 0.6503



The following is a DFT calculation (PBE) of a geometry-optimized KBa2TaSe5 structure.

a = 5.0231 Å, b = 7.8563 Å, c = 15.1380 Å
α = 90.00°, β = 90.00°, γ = 90.00°
Space group Immm (No. 71)
Asymmetric unit:
K 0.0000 0.0000 0.0000
Ba 0.0000 0.5000 0.2120
Ta 0.0000 0.0000 0.5000
Se 0.0000 0.2344 0.3765
Se 0.0000 0.5000 0.0000



The following is a DFT calculation (PBE) of a geometry-optimized KBaTaSe4 structure.

a = 7.4908 Å, b = 7.3004 Å, c = 9.3877 Å
α = 90.00°, β = 106.92°, γ = 90.00°
Space group P2_1/m (No. 11)
Asymmetric unit:
K 0.2218 0.2500 0.4318
Ba 0.2702 0.2500 0.9504
Ta 0.2916 0.7500 0.2012
Se 0.0875 0.7500 0.3575
Se 0.1197 0.7500 0.9398
Se 0.5002 0.0095 0.2516



| no. | uncorrected formation energy (meV per atom) |
| --- | --- |
| 1 | -1215.9 |
| 2 | -1101.3 |
| 3 | -1361.8 |
| 4 | -1316.4 |